No. 1
# Ta2Be

Ta2Be at its PBEsol-relaxed geometry (SCAN, Alexandria).

Computed properties:
Electronic total energy in eV/atom: -45.769
Space-group type: No. 63
Total magnetization in μB/cell: 0.00
Formation energy in eV/atom: 0.071

```
Ta2Be
1.0
1.7168 -6.1008 0.0000
1.7168 6.1008 0.0000
0.0000 0.0000 4.2701
Ta Be
4 2
Cartesian
1.7168 5.2186 3.2026 Ta
1.7168 3.0931 1.0675 Ta
1.7168 -3.0931 3.2026 Ta
1.7168 -5.2186 1.0675 Ta
1.7168 1.1226 3.2026 Be
1.7168 -1.1226 1.0675 Be
```

No. 2
# Ta3Be

Ta3Be at its PBEsol-relaxed geometry (SCAN, Alexandria).

Computed properties:
Electronic total energy in eV/atom: -50.853
Space-group type: No. 12
Total magnetization in μB/cell: 0.00
Formation energy in eV/atom: 0.173

```
Ta3Be
1.0
4.6333 -1.4603 0.0000
4.6333 1.4603 0.0000
-1.1017 0.0000 4.7235
Ta Be
3 1
Cartesian
0.0000 0.0000 0.0000 Ta
1.3351 0.0000 3.4409 Ta
6.8297 0.0000 1.2826 Ta
4.0824 0.0000 2.3618 Be
```